(1)
VASP calculation (PBE) on a relaxed structure of GaRe4.

Lattice parameters (Å, degrees): 4.427 4.427 4.427 90.00 90.00 90.00
Atoms (fractional coordinates):
Ga  0.000  0.000  0.000
Re  0.000  0.000  0.500
Re  0.000  0.500  0.000
Re  0.500  0.000  0.000
Re  0.500  0.500  0.500

Computed properties:
For the mass density, the calculation gives 15.59 g/cm³. As for the total DFT energy (no corrections): -8.553 eV per atom. The space group is Pm-3m, No. 221.

=====

(2)
VASP calculation (PBE) on a relaxed structure of Ga3Re.

Lattice parameters (Å, degrees): 5.071 5.071 5.071 142.76 66.43 127.14
Atoms (fractional coordinates):
Ga  0.000  0.000  0.000
Ga  0.377  0.615  0.762
Ga  0.853  0.615  0.238
Re  0.467  0.967  0.500

Computed properties:
For the mass density, the calculation gives 10.59 g/cm³. The calculation puts the energy above the most stable polymorph in this dataset at 192 meV per atom. As for the total DFT energy (no corrections): -5.285 eV per atom. The space group is Imm2, No. 44.

=====

(3)
VASP calculation (PBE) on a relaxed structure of Ga4Re.

Lattice parameters (Å, degrees): 5.029 5.029 5.029 109.47 109.47 109.47
Atoms (fractional coordinates):
Ga  0.000  0.000  0.500
Ga  0.000  0.500  0.000
Ga  0.500  0.000  0.000
Ga  0.500  0.500  0.500
Re  0.000  0.000  0.000

Computed properties:
For the mass density, the calculation gives 7.89 g/cm³. The calculation puts the energy above the most stable polymorph in this dataset at 0 meV per atom. As for the total DFT energy (no corrections): -5.033 eV per atom. The space group is Im-3m, No. 229.

=====

(4)
VASP calculation (PBE) on a relaxed structure of GaRe3.

Lattice parameters (Å, degrees): 2.870 4.435 4.692 90.00 90.00 90.00
Atoms (fractional coordinates):
Ga  0.000  0.000  0.000
Re  0.000  0.500  0.322
Re  0.500  0.000  0.516
Re  0.500  0.500  0.826

Computed properties:
For the mass density, the calculation gives 17.47 g/cm³. As for the total DFT energy (no corrections): -9.971 eV per atom. The space group is Pmm2, No. 25.

=====

(5)
VASP calculation (PBE) on a relaxed structure of Ga3Re.

Lattice parameters (Å, degrees): 6.534 6.534 7.080 90.00 90.00 90.00
Atoms (fractional coordinates):
Ga  0.000  0.500  0.000
Ga  0.000  0.500  0.500
Ga  0.167  0.167  0.244
Ga  0.167  0.167  0.756
Ga  0.333  0.667  0.256
Ga  0.333  0.667  0.744
Ga  0.500  0.000  0.000
Ga  0.500  0.000  0.500
Ga  0.667  0.333  0.256
Ga  0.667  0.333  0.744
Ga  0.833  0.833  0.244
Ga  0.833  0.833  0.756
Re  0.143  0.857  0.000
Re  0.357  0.357  0.500
Re  0.643  0.643  0.500
Re  0.857  0.143  0.000

Computed properties:
For the mass density, the calculation gives 8.69 g/cm³. The calculation puts the energy above the most stable polymorph in this dataset at 0 meV per atom. As for the total DFT energy (no corrections): -5.477 eV per atom. The space group is P4_2/mnm, No. 136.

=====

(6)
VASP calculation (PBE) on a relaxed structure of Ga6Re.

Lattice parameters (Å, degrees): 5.087 5.087 9.248 90.00 90.00 82.13
Atoms (fractional coordinates):
Ga  0.043  0.596  0.250
Ga  0.113  0.887  0.604
Ga  0.113  0.887  0.896
Ga  0.325  0.325  0.000
Ga  0.325  0.325  0.500
Ga  0.404  0.957  0.250
Ga  0.596  0.043  0.750
Ga  0.675  0.675  0.000
Ga  0.675  0.675  0.500
Ga  0.887  0.113  0.104
Ga  0.887  0.113  0.396
Ga  0.957  0.404  0.750
Re  0.439  0.561  0.750
Re  0.561  0.439  0.250

Computed properties:
For the mass density, the calculation gives 8.47 g/cm³. As for the total DFT energy (no corrections): -4.405 eV per atom. The space group is Cmcm, No. 63.

=====

(7)
VASP calculation (PBE) on a relaxed structure of Ga4Re.

Lattice parameters (Å, degrees): 4.880 4.880 4.880 90.00 90.00 90.00
Atoms (fractional coordinates):
Ga  0.000  0.000  0.000
Ga  0.000  0.500  0.500
Ga  0.500  0.000  0.500
Ga  0.500  0.500  0.000
Re  0.500  0.500  0.500

Computed properties:
For the mass density, the calculation gives 6.65 g/cm³. The calculation puts the energy above the most stable polymorph in this dataset at 376 meV per atom. As for the total DFT energy (no corrections): -4.657 eV per atom. The space group is Pm-3m, No. 221.

=====

(8)
VASP calculation (PBE) on a relaxed structure of GaRe2.

Lattice parameters (Å, degrees): 2.816 2.816 13.178 90.00 90.00 120.00
Atoms (fractional coordinates):
Ga  0.333  0.667  0.000
Ga  0.667  0.333  0.500
Re  0.000  0.000  0.329
Re  0.000  0.000  0.829
Re  0.333  0.667  0.670
Re  0.667  0.333  0.170

Computed properties:
For the mass density, the calculation gives 16.22 g/cm³. As for the total DFT energy (no corrections): -9.287 eV per atom. The space group is P6_3mc, No. 186.

=====

Number 1: energy of formation 2.0107 eV per atom. Number 2: energy of formation 0.0976 eV per atom. Number 3: energy of formation -0.1215 eV per atom. Number 4: energy of formation 0.1218 eV per atom. Number 5: energy of formation -0.0947 eV per atom. Number 6: energy of formation -0.0323 eV per atom. Number 7: energy of formation 0.2540 eV per atom. Number 8: energy of formation 0.0204 eV per atom.